Entry 1:
SrRe2Ru | PBE | relaxed

As for the formation energy: 1028 meV/atom. As for the volume: 139.72 Å³/cell.

The space group is C2/m (No. 12) and the conventional cell measures 5.464, 9.800 and 2.738 Å, with angles of 90.00, 107.63 and 90.00 degrees. The inequivalent atoms are Sr at (0.000, 0.000, 0.000), Re at (0.250, 0.250, 0.500) and Ru at (0.000, 0.500, 0.000).

---

Entry 2:
SiSb2Br | PBE | relaxed

Its uncorrected formation energy is 451 meV per atom. As for the volume: 194.93 Å³/cell.

The space group is Cmmm (No. 65) and the conventional cell measures 7.391, 7.944 and 3.320 Å, with angles of 90.00, 90.00 and 90.00 degrees. The inequivalent atoms are Si at (0.000, 0.000, 0.000), Sb at (0.250, 0.250, 0.500) and Br at (0.000, 0.500, 0.000).

---

Entry 3:
In2AgC2 | PBE | relaxed

As for the formation energy: 1527 meV/atom. As for the volume: 154.80 Å³/cell.

The space group is P4/mbm (No. 127) and the conventional cell measures 6.726, 6.726 and 3.422 Å, with angles of 90.00, 90.00 and 90.00 degrees. The inequivalent atoms are In at (0.149, 0.351, 0.000), Ag at (0.000, 0.000, 0.500) and C at (0.180, 0.680, 0.500).

---

Entry 4:
DyHo2Al2 | PBE | relaxed

As for the formation energy: -317 meV/atom. As for the volume: 247.65 Å³/cell.

The space group is P2_1/m (No. 11) and the conventional cell measures 3.623, 5.128 and 13.452 Å, with angles of 90.00, 97.74 and 90.00 degrees. The inequivalent atoms are Dy at (0.145, 0.250, 0.291), Ho at (0.047, 0.750, 0.094), Ho at (0.233, 0.750, 0.467), Al at (0.360, 0.250, 0.719) and Al at (0.451, 0.750, 0.901).

---

Entry 5:
Na2CdAg2 | PBE | relaxed

As for the formation energy: -59 meV/atom. As for the volume: 248.09 Å³/cell.

The space group is Immm (No. 71) and the conventional cell measures 4.855, 5.630 and 9.077 Å, with angles of 90.00, 90.00 and 90.00 degrees. The inequivalent atoms are Na at (0.000, 0.000, 0.195), Cd at (0.000, 0.500, 0.000) and Ag at (0.000, 0.258, 0.500).

---

Entry 6:
LiSn6Se8 | PBE | relaxed

Its uncorrected formation energy is -393 meV per atom. As for the volume: 413.46 Å³/cell.

The space group is P-3 (No. 147) and the conventional cell measures 10.5241, 10.5241 and 4.3105 Å, with angles of 90.00, 90.00 and 120.00 degrees. The inequivalent atoms are Li at (0.0000, 0.0000, 0.0000), Sn at (0.1330, 0.4563, 0.7488), Se at (0.0246, 0.7324, 0.7561) and Se at (0.3333, 0.6667, 0.2422).

---

Entry 7:
BeBiF6 | PBE | relaxed

Its uncorrected formation energy is -2347 meV per atom. As for the volume: 306.58 Å³/cell.

The space group is R-3 (No. 148, hexagonal axes) and the conventional cell measures 5.1040, 5.1040 and 13.5892 Å, with angles of 90.00, 90.00 and 120.00 degrees. The inequivalent atoms are Be at (0.0000, 0.0000, 0.0000), Bi at (0.0000, 0.0000, 0.5000) and F at (0.0151, 0.2919, 0.0746).

---

Entry 8:
Pm3Sm5 | PBE | relaxed

As for the formation energy: 16 meV/atom. As for the volume: 271.39 Å³/cell.

The space group is Pmmm (No. 47) and the conventional cell measures 5.137, 5.140 and 10.279 Å, with angles of 90.00, 90.00 and 90.00 degrees. The inequivalent atoms are Pm at (0.000, 0.000, 0.000), Pm at (0.000, 0.500, 0.250), Sm at (0.000, 0.000, 0.500), Sm at (0.500, 0.000, 0.250), Sm at (0.500, 0.500, 0.000) and Sm at (0.500, 0.500, 0.500).